5
Lattice="-2.007 -0.895 -4.510 0.879 -4.905 0.582 -4.513 -0.557 2.119" Properties=species:S:1:pos:R:3 comment="AsPdCl3 PBE optimized geometry" density_g_cm3=3.8 n_ef_per_ev_fu=19.27 relative_energy_mev_per_atom=0 dft_energy_ev_per_cell=-14.68 pbc="T T T"
As 0.000 0.000 0.000
Cl -1.003 -0.447 -2.255
Cl -2.257 -0.279 1.059
Pd -2.821 -3.178 -0.905
Cl 0.439 -2.452 0.291



4
Lattice="-1.659 -0.377 2.432 -1.099 -2.510 -1.139 6.125 -4.276 3.515" Properties=species:S:1:pos:R:3 comment="Ti2InAg PBE optimized geometry" density_g_cm3=7.3 n_ef_per_ev_fu=4.72 formation_energy_mev_per_atom=-21 dft_energy_ev_per_cell=-21.46 pbc="T T T"
Ti 1.475 -1.030 0.847
Ag -1.379 -1.444 0.646
Ti 4.650 -3.246 2.668
In 1.684 -3.582 2.404



18
Lattice="7.253 -0.237 -2.865 -3.871 6.459 -2.043 -0.095 0.237 7.798" Properties=species:S:1:pos:R:3 comment="YSc12Co5 PBE optimized geometry" density_g_cm3=4.2 n_ef_per_ev_fu=21.69 formation_energy_mev_per_atom=-176 dft_energy_ev_per_cell=-121.14 pbc="T T T"
Sc -0.365 4.354 -2.294
Sc -2.517 5.344 0.188
Co 1.175 2.161 -1.705
Sc 2.566 1.115 0.472
Co 3.111 0.791 3.146
Sc 3.510 3.815 2.567
Sc 3.652 2.104 5.185
Co 0.176 5.668 -0.255
Sc 1.013 2.104 3.366
Sc -2.458 6.417 3.567
Sc 5.804 1.115 2.703
Y -1.983 3.348 2.878
Co 2.207 4.060 -3.202
Sc 0.720 5.344 2.419
Sc 2.274 4.354 -0.475
Sc -0.223 2.643 0.324
Co 0.000 0.000 0.000
Sc 5.745 0.042 -0.676



3
Lattice="4.563 0.000 0.000 2.282 3.952 0.000 2.282 1.317 3.726" Properties=species:S:1:pos:R:3 comment="LiMgSe PBE optimized geometry" density_g_cm3=2.7 n_ef_per_ev_fu=2.02 relative_energy_mev_per_atom=178 dft_energy_ev_per_cell=-8.95 pbc="T T T"
Mg 4.563 2.635 1.863
Li 0.000 0.000 0.000
Se 6.845 3.952 2.794



5
Lattice="-2.159 3.829 -0.198 -2.267 -1.092 3.609 3.091 1.873 2.509" Properties=species:S:1:pos:R:3 comment="CoPW3 PBE optimized geometry" density_g_cm3=12.5 n_ef_per_ev_fu=7.20 relative_energy_mev_per_atom=0 formation_energy_mev_per_atom=1210 dft_energy_ev_per_cell=-45.33 pbc="T T T"
W -1.134 -0.546 1.805
Co -0.668 2.305 2.960
W -1.080 1.914 -0.099
P 0.000 0.000 0.000
W 1.546 0.937 1.254



5
Lattice="6.638 0.000 0.000 0.000 6.638 0.000 0.000 0.000 5.128" Properties=species:S:1:pos:R:3 comment="KSI2O PBE optimized geometry" density_g_cm3=2.5 n_ef_per_ev_fu=5.02 relative_energy_mev_per_atom=1064 dft_energy_ev_per_cell=-9.90 pbc="T T T"
I 0.000 3.319 0.000
K 0.000 0.000 0.000
O 0.000 0.000 2.564
I 3.319 0.000 0.000
S 3.319 3.319 2.564



14
Lattice="-6.346 5.249 -3.594 -2.607 -1.283 -8.503 -7.164 -2.463 -2.180" Properties=species:S:1:pos:R:3 comment="Tb3DyTe3 PBE optimized geometry" density_g_cm3=8.2 n_ef_per_ev_fu=6.08 dft_energy_ev_per_cell=-70.19 pbc="T T T"
Tb -8.027 -2.508 -9.076
Te -6.127 -0.072 -9.329
Te -8.853 3.430 -8.323
Dy -3.246 1.085 -3.917
Tb -11.559 2.166 -7.495
Dy -12.872 0.418 -10.360
Te -7.265 -1.927 -5.954
Tb -8.461 1.683 -10.792
Tb -4.559 -0.663 -6.782
Te -9.991 1.575 -4.948
Tb -7.657 -0.180 -3.485
Tb -8.090 4.011 -5.201
Te -10.130 -0.300 -9.092
Te -5.988 1.802 -5.185



10
Lattice="0.764 -7.868 -2.127 -7.083 -4.097 0.247 3.160 6.683 -3.518" Properties=species:S:1:pos:R:3 comment="Ca2Mg2Cu PBE optimized geometry" density_g_cm3=2.3 n_ef_per_ev_fu=3.06 relative_energy_mev_per_atom=77 formation_energy_mev_per_atom=-8 dft_energy_ev_per_cell=-22.65 pbc="T T T"
Cu -4.140 -5.336 -1.757
Ca 0.066 -1.370 -1.162
Ca -3.225 -3.913 -4.235
Ca -2.493 -7.534 -2.966
Cu 0.981 0.054 -3.640
Mg -1.529 -1.089 -4.037
Mg 1.441 -2.687 -3.852
Ca -0.666 2.252 -2.431
Mg -4.600 -2.596 -1.545
Mg -1.630 -4.193 -1.360



Please write out number 8 again, unchanged.
10
Lattice="0.764 -7.868 -2.127 -7.083 -4.097 0.247 3.160 6.683 -3.518" Properties=species:S:1:pos:R:3 comment="Ca2Mg2Cu PBE optimized geometry" density_g_cm3=2.3 n_ef_per_ev_fu=3.06 relative_energy_mev_per_atom=77 formation_energy_mev_per_atom=-8 dft_energy_ev_per_cell=-22.65 pbc="T T T"
Cu -4.140 -5.336 -1.757
Ca 0.066 -1.370 -1.162
Ca -3.225 -3.913 -4.235
Ca -2.493 -7.534 -2.966
Cu 0.981 0.054 -3.640
Mg -1.529 -1.089 -4.037
Mg 1.441 -2.687 -3.852
Ca -0.666 2.252 -2.431
Mg -4.600 -2.596 -1.545
Mg -1.630 -4.193 -1.360